Here is crystalline AcPm2Si6 at its relaxed geometry from the Alexandria database. Energies are from PBE.

Lattice parameters (Å, degrees): 3.9830 7.7140 7.7140 68.57 75.04 75.04
Fractional coordinates of all 9 atoms:
Pm 0.8600 0.6400 0.6400
Pm 0.1400 0.3600 0.3600
Si 0.6887 0.5749 0.0476
Si 0.3113 0.4251 0.9524
Si 0.6887 0.0476 0.5749
Si 0.5000 0.6889 0.3111
Si 0.3113 0.9524 0.4251
Si 0.5000 0.3111 0.6889
Ac 0.0000 0.0000 0.0000

Computed properties:
- E (eV per atom) = -5.501
- symmetry = Immm